# CdInI2

A relaxed CdInI2 crystal (PBE, Alexandria via LeMat-Bulk).

Summary:
The calculation puts the total energy at -1.88 eV per atom. As for the formation energy from raw total energies: -0.20 eV/atom.

Structure (POSCAR):
```
CdInI2
1.0
0.0000 4.0923 4.0923
4.0923 0.0000 4.0923
4.0923 4.0923 0.0000
Cd In I
1 1 2
Direct
0.0000 0.0000 0.0000
0.5000 0.5000 0.5000
0.2500 0.2500 0.2500
0.7500 0.7500 0.7500
```

=====

# CuAsBr2N

A relaxed CuAsBr2N crystal (PBE, Alexandria via LeMat-Bulk).

Summary:
The calculation puts the total energy at -2.49 eV per atom. As for the formation energy from raw total energies: 1.59 eV/atom.

Structure (POSCAR):
```
CuAsBr2N
1.0
4.8191 0.0000 0.0000
0.0000 4.8191 0.0000
0.0000 0.0000 4.8102
Cu As Br N
1 1 2 1
Direct
0.0000 0.0000 0.0000
0.0000 0.0000 0.5000
0.0000 0.5000 0.0000
0.5000 0.0000 0.0000
0.5000 0.5000 0.5000
```

=====

# LaPr2Y4Ho2

A relaxed LaPr2Y4Ho2 crystal (PBE, Alexandria via LeMat-Bulk).

Summary:
The formation energy comes out at 0.076 eV per atom. The calculation puts the total energy at -5.42 eV per atom.

Structure (POSCAR):
```
LaPr2Y4Ho2
1.0
6.0633 0.0000 0.0000
2.8778 6.0486 0.0000
3.0273 -0.2090 8.2914
La Pr Y Ho
1 2 4 2
Direct
0.0000 0.0000 0.0000
0.0838 0.3210 0.6521
0.9162 0.6790 0.3479
0.3682 0.1369 0.2402
0.3829 0.4205 0.8797
0.6171 0.5795 0.1203
0.6318 0.8631 0.7598
0.2676 0.7688 0.5485
0.7324 0.2312 0.4515
```

=====

# CaAu2

A relaxed CaAu2 crystal (PBE, Alexandria via LeMat-Bulk).

Summary:
The formation energy comes out at -0.547 eV per atom. The calculation puts the total energy at -3.40 eV per atom.

Structure (POSCAR):
```
CaAu2
1.0
7.3347 0.0000 0.0000
-3.6674 6.3521 0.0000
0.0000 0.0000 4.9138
Ca Au
3 6
Direct
0.0000 0.0000 0.0000
0.3333 0.6667 0.5000
0.6667 0.3333 0.5000
0.0000 0.2284 0.5000
0.0000 0.4304 0.0000
0.2284 0.0000 0.5000
0.4304 0.0000 0.0000
0.5696 0.5696 0.0000
0.7716 0.7716 0.5000
```